# Al3BAs, relaxed, DFT PBE-GGA
data_Al3BAs
_cell_length_a 4.831
_cell_length_b 4.831
_cell_length_c 4.831
_cell_angle_alpha 90.00
_cell_angle_beta 90.00
_cell_angle_gamma 90.00
_space_group_name_H-M_alt 'P 1'
_space_group_IT_number 1
_space_group_name_Hall 'P 1'
loop_
_atom_site_label
_atom_site_type_symbol
_atom_site_fract_x
_atom_site_fract_y
_atom_site_fract_z
_atom_site_occupancy
As1 As 0.000 0.000 0.000 1
Al1 Al 0.000 0.000 0.500 1
Al2 Al 0.000 0.500 0.000 1
Al3 Al 0.500 0.000 0.000 1
B1 B 0.500 0.500 0.500 1
# DOS at the Fermi energy in states/eV per atom: 0.7519
# Distance to the lowest polymorph of the same formula in meV/atom: 1309
# Space-group type: Pm-3m

# CsZn3Sb, relaxed, DFT PBE-GGA
data_CsZn3Sb
_cell_length_a 5.589
_cell_length_b 5.589
_cell_length_c 5.589
_cell_angle_alpha 90.00
_cell_angle_beta 90.00
_cell_angle_gamma 90.00
_space_group_name_H-M_alt 'P 1'
_space_group_IT_number 1
_space_group_name_Hall 'P 1'
loop_
_atom_site_label
_atom_site_type_symbol
_atom_site_fract_x
_atom_site_fract_y
_atom_site_fract_z
_atom_site_occupancy
Cs1 Cs 0.500 0.500 0.500 1
Zn1 Zn 0.000 0.500 0.000 1
Zn2 Zn 0.000 0.000 0.500 1
Sb1 Sb 0.000 0.000 0.000 1
Zn3 Zn 0.500 0.000 0.000 1
# Formation energy (no corrections) in eV per atom: 0.25
# DOS at the Fermi energy in states/eV per atom: 0.3385
# Distance to the lowest polymorph of the same formula in meV/atom: 0
# Space-group type: Pm-3m

# Nd2Ho3ThSe6, relaxed, DFT PBE-GGA
data_Nd2Ho3ThSe6
_cell_length_a 4.092
_cell_length_b 8.383
_cell_length_c 9.344
_cell_angle_alpha 105.25
_cell_angle_beta 102.65
_cell_angle_gamma 90.00
_space_group_name_H-M_alt 'P 1'
_space_group_IT_number 1
_space_group_name_Hall 'P 1'
loop_
_atom_site_label
_atom_site_type_symbol
_atom_site_fract_x
_atom_site_fract_y
_atom_site_fract_z
_atom_site_occupancy
Nd1 Nd 0.837 0.673 0.673 1
Se1 Se 0.329 0.927 0.658 1
Se2 Se 0.665 0.592 0.329 1
Ho1 Ho 0.167 0.834 0.333 1
Nd2 Nd 0.163 0.327 0.327 1
Ho2 Ho 0.500 0.500 0.000 1
Ho3 Ho 0.833 0.166 0.667 1
Th1 Th 0.500 0.000 0.000 1
Se3 Se 0.671 0.073 0.342 1
Se4 Se 0.335 0.408 0.671 1
Se5 Se 0.005 0.741 0.010 1
Se6 Se 0.995 0.259 0.990 1
# Formation energy (no corrections) in eV per atom: -1.73
# DOS at the Fermi energy in states/eV per atom: 0.5360
# Space-group type: C2/m

# LaY3HoSc, relaxed, DFT PBE-GGA
data_LaY3HoSc
_cell_length_a 4.983
_cell_length_b 7.937
_cell_length_c 10.086
_cell_angle_alpha 90.00
_cell_angle_beta 90.00
_cell_angle_gamma 108.30
_space_group_name_H-M_alt 'P 1'
_space_group_IT_number 1
_space_group_name_Hall 'P 1'
loop_
_atom_site_label
_atom_site_type_symbol
_atom_site_fract_x
_atom_site_fract_y
_atom_site_fract_z
_atom_site_occupancy
Sc1 Sc 0.831 0.662 0.750 1
Ho1 Ho 0.000 0.000 0.500 1
La1 La 0.496 0.992 0.750 1
Sc2 Sc 0.169 0.338 0.250 1
Y1 Y 0.829 0.658 0.250 1
Y2 Y 0.332 0.665 0.500 1
Y3 Y 0.668 0.335 0.500 1
La2 La 0.504 0.008 0.250 1
Y4 Y 0.668 0.335 0.000 1
Y5 Y 0.332 0.665 0.000 1
Ho2 Ho 0.000 0.000 0.000 1
Y6 Y 0.171 0.342 0.750 1
# DOS at the Fermi energy in states/eV per atom: 1.7035
# Raw total energy in eV per formula unit: -34.914
# Space-group type: Cmcm

# RbGa3Sn, relaxed, DFT PBE-GGA
data_RbGa3Sn
_cell_length_a 5.779
_cell_length_b 5.779
_cell_length_c 5.779
_cell_angle_alpha 90.00
_cell_angle_beta 90.00
_cell_angle_gamma 90.00
_space_group_name_H-M_alt 'P 1'
_space_group_IT_number 1
_space_group_name_Hall 'P 1'
loop_
_atom_site_label
_atom_site_type_symbol
_atom_site_fract_x
_atom_site_fract_y
_atom_site_fract_z
_atom_site_occupancy
Ga1 Ga 0.000 0.500 0.000 1
Ga2 Ga 0.500 0.000 0.000 1
Sn1 Sn 0.500 0.500 0.500 1
Ga3 Ga 0.000 0.000 0.500 1
Rb1 Rb 0.000 0.000 0.000 1
# DOS at the Fermi energy in states/eV per atom: 0.9310
# Distance to the lowest polymorph of the same formula in meV/atom: 1204
# Space-group type: Pm-3m

# Ba2TaIn, relaxed, DFT PBE-GGA
data_Ba2TaIn
_cell_length_a 6.027
_cell_length_b 6.027
_cell_length_c 6.690
_cell_angle_alpha 84.15
_cell_angle_beta 84.15
_cell_angle_gamma 32.42
_space_group_name_H-M_alt 'P 1'
_space_group_IT_number 1
_space_group_name_Hall 'P 1'
loop_
_atom_site_label
_atom_site_type_symbol
_atom_site_fract_x
_atom_site_fract_y
_atom_site_fract_z
_atom_site_occupancy
In1 In 0.750 0.750 0.750 1
Ba1 Ba 0.003 0.003 0.003 1
Ba2 Ba 0.497 0.497 0.497 1
Ta1 Ta 0.250 0.250 0.250 1
# DOS at the Fermi energy in states/eV per atom: 1.1253
# Distance to the lowest polymorph of the same formula in meV/atom: 406
# Space-group type: C2/m

# V5Mo2W4, relaxed, DFT PBE-GGA
data_V5Mo2W4
_cell_length_a 2.575
_cell_length_b 6.885
_cell_length_c 9.520
_cell_angle_alpha 93.11
_cell_angle_beta 90.00
_cell_angle_gamma 90.00
_space_group_name_H-M_alt 'P 1'
_space_group_IT_number 1
_space_group_name_Hall 'P 1'
loop_
_atom_site_label
_atom_site_type_symbol
_atom_site_fract_x
_atom_site_fract_y
_atom_site_fract_z
_atom_site_occupancy
V1 V 0.000 0.230 0.177 1
V2 V 0.000 0.581 0.271 1
Mo1 Mo 0.000 0.946 0.357 1
Mo2 Mo 0.000 0.054 0.643 1
V3 V 0.000 0.419 0.729 1
V4 V 0.000 0.500 0.000 1
W1 W 0.500 0.146 0.911 1
V5 V 0.000 0.770 0.823 1
W2 W 0.500 0.854 0.089 1
W3 W 0.500 0.315 0.451 1
W4 W 0.500 0.685 0.549 1
# DOS at the Fermi energy in states/eV per atom: 1.1592
# Distance to the lowest polymorph of the same formula in meV/atom: 210
# Space-group type: P2/m

# LaTb4Ho6, relaxed, DFT PBE-GGA
data_LaTb4Ho6
_cell_length_a 7.757
_cell_length_b 7.757
_cell_length_c 8.437
_cell_angle_alpha 117.37
_cell_angle_beta 117.37
_cell_angle_gamma 90.00
_space_group_name_H-M_alt 'P 1'
_space_group_IT_number 1
_space_group_name_Hall 'P 1'
loop_
_atom_site_label
_atom_site_type_symbol
_atom_site_fract_x
_atom_site_fract_y
_atom_site_fract_z
_atom_site_occupancy
Tb1 Tb 0.092 0.760 0.852 1
Ho1 Ho 0.500 0.000 0.000 1
Ho2 Ho 0.568 0.568 0.625 1
Ho3 Ho 0.057 0.057 0.625 1
Ho4 Ho 0.000 0.500 0.000 1
La1 La 0.500 0.500 0.000 1
Tb2 Tb 0.240 0.240 0.148 1
Ho5 Ho 0.943 0.432 0.375 1
Tb3 Tb 0.760 0.092 0.852 1
Ho6 Ho 0.432 0.943 0.375 1
Tb4 Tb 0.908 0.908 0.148 1
# DOS at the Fermi energy in states/eV per atom: 1.5574
# Raw total energy in eV per formula unit: -46.064
# Space-group type: I-42m

# CsPuAsSe4, relaxed, DFT PBE-GGA
data_CsPuAsSe4
_cell_length_a 8.445
_cell_length_b 8.445
_cell_length_c 8.445
_cell_angle_alpha 60.00
_cell_angle_beta 60.00
_cell_angle_gamma 60.00
_space_group_name_H-M_alt 'P 1'
_space_group_IT_number 1
_space_group_name_Hall 'P 1'
loop_
_atom_site_label
_atom_site_type_symbol
_atom_site_fract_x
_atom_site_fract_y
_atom_site_fract_z
_atom_site_occupancy
Pu1 Pu 0.500 0.500 0.500 1
Cs1 Cs 0.750 0.750 0.750 1
Se1 Se 0.885 0.372 0.372 1
Se2 Se 0.372 0.372 0.885 1
Se3 Se 0.372 0.372 0.372 1
Se4 Se 0.372 0.885 0.372 1
As1 As 0.250 0.250 0.250 1
# Formation energy (no corrections) in eV per atom: -0.46
# DOS at the Fermi energy in states/eV per atom: 1.1906
# Space-group type: F-43m

# MgH4Pt, relaxed, DFT PBE-GGA
data_MgH4Pt
_cell_length_a 5.971
_cell_length_b 5.970
_cell_length_c 5.263
_cell_angle_alpha 75.56
_cell_angle_beta 75.55
_cell_angle_gamma 132.26
_space_group_name_H-M_alt 'P 1'
_space_group_IT_number 1
_space_group_name_Hall 'P 1'
loop_
_atom_site_label
_atom_site_type_symbol
_atom_site_fract_x
_atom_site_fract_y
_atom_site_fract_z
_atom_site_occupancy
H1 H 0.064 0.012 0.178 1
H2 H 0.634 0.267 0.033 1
Pt1 Pt 0.642 0.812 0.821 1
H3 H 0.512 0.564 0.678 1
Mg1 Mg 0.079 0.812 0.947 1
Pt2 Pt 0.312 0.142 0.321 1
H4 H 0.824 0.059 0.966 1
H5 H 0.767 0.134 0.533 1
Mg2 Mg 0.311 0.579 0.447 1
H6 H 0.559 0.324 0.466 1
H7 H 0.084 0.712 0.555 1
H8 H 0.212 0.583 0.055 1
# Distance to the lowest polymorph of the same formula in meV/atom: 0
# Space-group type: Cc

# K2Tl3In6, relaxed, DFT PBE-GGA
data_K2Tl3In6
_cell_length_a 4.555
_cell_length_b 9.350
_cell_length_c 9.350
_cell_angle_alpha 99.38
_cell_angle_beta 90.00
_cell_angle_gamma 90.00
_space_group_name_H-M_alt 'P 1'
_space_group_IT_number 1
_space_group_name_Hall 'P 1'
loop_
_atom_site_label
_atom_site_type_symbol
_atom_site_fract_x
_atom_site_fract_y
_atom_site_fract_z
_atom_site_occupancy
Tl1 Tl 0.500 0.000 0.000 1
In1 In 0.500 0.365 0.060 1
K1 K 0.000 0.712 0.288 1
K2 K 0.000 0.288 0.712 1
In2 In 0.500 0.940 0.635 1
In3 In 0.500 0.635 0.940 1
In4 In 0.500 0.617 0.617 1
In5 In 0.500 0.060 0.365 1
Tl2 Tl 0.000 0.196 0.196 1
In6 In 0.500 0.383 0.383 1
Tl3 Tl 0.000 0.804 0.804 1
# DOS at the Fermi energy in states/eV per atom: 0.4762
# Raw total energy in eV per formula unit: -25.474
# Space-group type: Cmmm

# AgSnB, relaxed, DFT PBE-GGA
data_AgSnB
_cell_length_a 6.621
_cell_length_b 3.658
_cell_length_c 9.139
_cell_angle_alpha 90.00
_cell_angle_beta 90.00
_cell_angle_gamma 90.00
_space_group_name_H-M_alt 'P 1'
_space_group_IT_number 1
_space_group_name_Hall 'P 1'
loop_
_atom_site_label
_atom_site_type_symbol
_atom_site_fract_x
_atom_site_fract_y
_atom_site_fract_z
_atom_site_occupancy
Ag1 Ag 0.833 0.250 0.482 1
Sn1 Sn 0.559 0.750 0.661 1
Sn2 Sn 0.441 0.250 0.339 1
Ag2 Ag 0.667 0.750 0.982 1
Sn3 Sn 0.941 0.250 0.161 1
Ag3 Ag 0.167 0.750 0.518 1
B1 B 0.057 0.250 0.678 1
Ag4 Ag 0.333 0.250 0.018 1
B2 B 0.443 0.750 0.178 1
B3 B 0.557 0.250 0.822 1
B4 B 0.943 0.750 0.322 1
Sn4 Sn 0.059 0.750 0.839 1
# DOS at the Fermi energy in states/eV per atom: 0.4305
# Raw total energy in eV per formula unit: -11.018
# Space-group type: Pnma

Which formula does entry 9 have?
CsPuAsSe4